Material: LuMg6
Method: DFT, PBE-GGA
State: optimized geometry

Properties
Formation enthalpy at 0 K: 0.799 eV per atom
Total moment: 0.00 μB/f.u.
Mass density: 2.28 g/cm³

The structure in CIF format:
```
data_LuMg6
_chemical_formula_sum 'Lu2 Mg12'
_cell_length_a 7.757
_cell_length_b 7.757
_cell_length_c 7.757
_cell_angle_alpha 90.00
_cell_angle_beta 90.00
_cell_angle_gamma 90.00
_symmetry_space_group_name_H-M 'I m -3 m'
_symmetry_Int_Tables_number 229
_symmetry_space_group_name_Hall '-I 4 2 3'
loop_
_atom_site_label
_atom_site_type_symbol
_atom_site_fract_x
_atom_site_fract_y
_atom_site_fract_z
Lu1 Lu 0.000 0.000 0.000
Mg1 Mg 0.000 0.250 0.500
```



Material: LuMg3
Method: DFT, PBE-GGA
State: optimized geometry

Properties
Formation enthalpy at 0 K: -0.028 eV per atom
Total moment: 0.00 μB/f.u.
Mass density: 4.22 g/cm³

The structure in CIF format:
```
data_LuMg3
_chemical_formula_sum 'Lu2 Mg6'
_cell_length_a 6.6055
_cell_length_b 6.6055
_cell_length_c 5.1684
_cell_angle_alpha 90.00
_cell_angle_beta 90.00
_cell_angle_gamma 120.00
_symmetry_space_group_name_H-M 'P 63/m m c'
_symmetry_Int_Tables_number 194
_symmetry_space_group_name_Hall '-P 6c 2c'
loop_
_atom_site_label
_atom_site_type_symbol
_atom_site_fract_x
_atom_site_fract_y
_atom_site_fract_z
Lu1 Lu 0.3333 0.6667 0.2500
Mg1 Mg 0.1641 0.3282 0.7500
```



Material: Lu3Mg
Method: DFT, PBE-GGA
State: optimized geometry

Properties
Formation enthalpy at 0 K: 0.044 eV per atom
Total moment: 0.00 μB/f.u.
Mass density: 8.14 g/cm³

The structure in CIF format:
```
data_Lu3Mg
_chemical_formula_sum 'Lu3 Mg1'
_cell_length_a 4.821
_cell_length_b 4.821
_cell_length_c 4.821
_cell_angle_alpha 90.00
_cell_angle_beta 90.00
_cell_angle_gamma 90.00
_symmetry_space_group_name_H-M 'P m -3 m'
_symmetry_Int_Tables_number 221
_symmetry_space_group_name_Hall '-P 4 2 3'
loop_
_atom_site_label
_atom_site_type_symbol
_atom_site_fract_x
_atom_site_fract_y
_atom_site_fract_z
Lu1 Lu 0.000 0.000 0.500
Mg1 Mg 0.500 0.500 0.500
```



Material: LuMg5
Method: DFT, PBE-GGA
State: optimized geometry

Properties
Formation enthalpy at 0 K: -0.015 eV per atom
Total moment: 0.00 μB/f.u.
Mass density: 3.41 g/cm³

The structure in CIF format:
```
data_LuMg5
_chemical_formula_sum 'Lu2 Mg10'
_cell_length_a 4.493
_cell_length_b 13.564
_cell_length_c 4.739
_cell_angle_alpha 90.00
_cell_angle_beta 90.00
_cell_angle_gamma 90.00
_symmetry_space_group_name_H-M 'C m m m'
_symmetry_Int_Tables_number 65
_symmetry_space_group_name_Hall '-C 2 2'
loop_
_atom_site_label
_atom_site_type_symbol
_atom_site_fract_x
_atom_site_fract_y
_atom_site_fract_z
Lu1 Lu 0.000 0.000 0.000
Mg1 Mg 0.000 0.166 0.500
Mg2 Mg 0.000 0.327 0.000
Mg3 Mg 0.000 0.500 0.500
```